[1]
First-principles (PBE) data for NdNpNi10 after structural relaxation, as listed in the Alexandria database.

Cell lengths 3.9676, 4.9049, 8.4981 Å; angles 90.00, 90.00, 90.00 degrees
Space group Pmmm (No. 47)
One atom of each set of equivalent atoms:
Nd 0.0000 0.0000 0.0000 [1 per cell]
Np 0.0000 0.5000 0.5000 [1 per cell]
Ni 0.0000 0.0000 0.3395 [2 per cell]
Ni 0.0000 0.5000 0.1768 [2 per cell]
Ni 0.5000 0.0000 0.5000 [1 per cell]
Ni 0.5000 0.2539 0.2559 [4 per cell]
Ni 0.5000 0.5000 0.0000 [1 per cell]

Output
DOS(E_F)	19.38	states/eV/cell
formation energy from the elements	-0.204	eV per atom
calculated volume	13.78	Å³ per atom

[2]
First-principles (PBE) data for Nd2NpNi9 after structural relaxation, as listed in the Alexandria database.

Cell lengths 4.9863, 4.9863, 24.8460 Å; angles 90.00, 90.00, 120.00 degrees
Space group R-3m (No. 166, hexagonal axes)
One atom of each set of equivalent atoms:
Nd 0.0000 0.0000 0.1380 [6 per cell]
Np 0.0000 0.0000 0.0000 [3 per cell]
Ni 0.0000 0.0000 0.3328 [6 per cell]
Ni 0.0000 0.0000 0.5000 [3 per cell]
Ni 0.0010 0.5005 0.0799 [18 per cell]

Output
DOS(E_F)	64.25	states/eV/cell
formation energy from the elements	-0.218	eV per atom
calculated volume	14.86	Å³ per atom

[3]
First-principles (PBE) data for Nd2Np2Ni15 after structural relaxation, as listed in the Alexandria database.

Cell lengths 8.5015, 8.5015, 12.6603 Å; angles 90.00, 90.00, 120.00 degrees
Space group R-3m (No. 166, hexagonal axes)
One atom of each set of equivalent atoms:
Nd 0.0000 0.0000 0.1461 [6 per cell]
Np 0.0000 0.0000 0.4096 [6 per cell]
Ni 0.0000 0.3114 0.5000 [18 per cell]
Ni 0.0000 0.5000 0.0000 [9 per cell]
Ni 0.0009 0.5005 0.3413 [18 per cell]

Output
DOS(E_F)	81.71	states/eV/cell
formation energy from the elements	-0.188	eV per atom
calculated volume	13.90	Å³ per atom

Which value of formation energy from the elements does entry 2 give?
-0.218 eV per atom